[1]
This record from Alexandria via LeMat-Bulk describes an optimized crystal structure of PmHf2CuN4. The functional is GGA-PBE.

Cell: 3.2855 10.8591 11.1728 Å, 90.00 90.00 90.00°
With the nearest neighbours (Å) after each atom.
Space group Cmcm (No. 63)
Unique sites:
Pm  0.0000  0.1062  0.2500 [4 per cell]  2 N 2.37
Hf  0.0000  0.3666  0.0560 [8 per cell]  6 N 2.13-2.34
Cu  0.0000  0.1585  0.7500 [4 per cell]  4 N 1.97-2.01
N  0.0000  0.0000  0.0000 [4 per cell]  4 Hf 2.28
N  0.0000  0.2654  0.6071 [8 per cell]  1 Cu 1.97, 1 Hf 2.13
N  0.0000  0.4488  0.2500 [4 per cell]  2 Cu 2.01

Properties
* DOS(E_F): 0.23 states/eV/cell
* E_form (uncorrected): -1.32 eV/atom



[2]
This record from Alexandria via LeMat-Bulk describes an optimized crystal structure of K2ScSnP. The functional is GGA-PBE.

Cell: 6.9976 6.9976 4.7517 Å, 90.00 90.00 90.00°
With the nearest neighbours (Å) after each atom.
Space group P4/mmm (No. 123)
Unique sites:
K  0.0000  0.5000  0.0000 [2 per cell]  2 Sc 3.50
Sc  0.0000  0.0000  0.0000 [1 per cell]  2 P 2.38
Sn  0.5000  0.5000  0.5000 [1 per cell]  8 K 4.23
P  0.0000  0.0000  0.5000 [1 per cell]  2 Sc 2.38

Properties
* energy of formation: 8.22 kcal/mol of atoms
* DOS(E_F): 2.31 states/eV/cell



[3]
This record from Alexandria via LeMat-Bulk describes an optimized crystal structure of Rb2NpMnS4. The functional is GGA-PBE.

Cell: 8.3420 8.3717 11.9412 Å, 90.00 90.00 90.00°
With the nearest neighbours (Å) after each atom.
Space group Imma (No. 74)
Unique sites:
Rb  0.0000  0.0000  0.0000 [4 per cell]  6 S 3.21-3.28
Rb  0.2500  0.2500  0.2500 [4 per cell]  6 S 3.19-3.28
Np  0.0000  0.0000  0.5000 [4 per cell]  6 S 2.73-2.75
Mn  0.2500  0.2500  0.7500 [4 per cell]  6 S 2.68-2.82
S  0.0000  0.0510  0.7276 [8 per cell]  2 Mn 2.68, 1 Np 2.75
S  0.2092  0.2500  0.5159 [8 per cell]  2 Np 2.73, 1 Mn 2.82

Properties
* DOS(E_F): 36.96 states/eV/cell
* E_form (uncorrected): -1.02 eV/atom



[4]
This record from Alexandria via LeMat-Bulk describes an optimized crystal structure of TlIn5Sn. The functional is GGA-PBE.

Cell: 9.5107 10.0919 8.9578 Å, 90.00 109.82 90.00°
With the nearest neighbours (Å) after each atom.
Space group C2/c (No. 15)
Unique sites:
Tl  0.0000  0.2411  0.2500 [4 per cell]  7 In 3.28-3.50
In  0.0000  0.0839  0.7500 [4 per cell]  6 In 3.01-3.36, 2 Sn 3.14, 1 Tl 3.28
In  0.0866  0.3775  0.6268 [8 per cell]  5 In 3.08-3.38, 2 Sn 3.28-3.42
In  0.2178  0.0528  0.5742 [8 per cell]  4 In 3.01-3.25, 1 Sn 3.16, 1 Tl 3.34
Sn  0.2500  0.2500  0.0000 [4 per cell]  8 In 3.14-3.42

Properties
* energy of formation: 1.52 kcal/mol of atoms
* DOS(E_F): 13.72 states/eV/cell